Computed, not measured: a relaxed Ti3AlFe4 crystal at the GGA-PBE level of DFT.

Results
* Fermi-level density of states: 6.09 states/eV/cell
* ΔE_f: -0.418 eV per atom
* E: -64.6 eV per cell

abc: 2.941 2.941 11.636
angles: 90.00 90.00 90.00
Space group P4/mmm (No. 123)
Symmetry-distinct sites (fractional):
Ti 0.000 0.000 0.000 x1
Ti 0.000 0.000 0.256 x2
Al 0.000 0.000 0.500 x1
Fe 0.500 0.500 0.125 x2
Fe 0.500 0.500 0.376 x2


Computed, not measured: a relaxed TiAlFe crystal at the GGA-PBE level of DFT.

Results
* Fermi-level density of states: 12.30 states/eV/cell
* ΔE_f: -0.397 eV per atom
* E: -85.2 eV per cell

abc: 4.076 9.942 4.084
angles: 90.00 90.00 90.00
Space group Cmcm (No. 63)
Symmetry-distinct sites (fractional):
Ti 0.000 0.106 0.250 x4
Al 0.000 0.400 0.250 x4
Fe 0.000 0.244 0.750 x4


Computed, not measured: a relaxed Ti6Al10Fe crystal at the GGA-PBE level of DFT.

Results
* Fermi-level density of states: 10.94 states/eV/cell
* ΔE_f: -0.194 eV per atom
* E: -96.5 eV per cell

abc: 7.6590 7.6590 5.3640
angles: 90.00 90.00 120.00
Space group P-31m (No. 162)
Symmetry-distinct sites (fractional):
Ti 0.0000 0.3884 0.2132 x6
Al 0.0000 0.2444 0.7015 x6
Al 0.3333 0.6667 0.0000 x2
Al 0.3333 0.6667 0.5000 x2
Fe 0.0000 0.0000 0.0000 x1


Computed, not measured: a relaxed TiAlFe14 crystal at the GGA-PBE level of DFT.

Results
* Fermi-level density of states: 27.61 states/eV/cell
* ΔE_f: -0.090 eV per atom
* E: -263.1 eV per cell

abc: 5.755 8.070 8.098
angles: 90.00 90.00 90.00
Space group Cmmm (No. 65)
Symmetry-distinct sites (fractional):
Ti 0.000 0.000 0.000 x2
Al 0.000 0.500 0.000 x2
Fe 0.000 0.000 0.500 x2
Fe 0.000 0.253 0.249 x8
Fe 0.000 0.500 0.500 x2
Fe 0.249 0.000 0.257 x8
Fe 0.250 0.250 0.000 x4
Fe 0.250 0.250 0.500 x4